Entry 1:
AcPa2NiN4 | PBE | relaxed

```
AcPa2NiN4
1.0
3.5724 0.0000 0.0000
-1.7862 5.8498 0.0000
0.0000 0.0000 11.5274
N Ac Ni Pa
8 2 2 4
direct
0.7350 0.4700 0.8925 N
0.4340 0.8680 0.7500 N
0.5660 0.1320 0.2500 N
0.7350 0.4700 0.6075 N
0.2650 0.5300 0.3925 N
0.2650 0.5300 0.1075 N
0.0000 0.0000 0.0000 N
0.0000 0.0000 0.5000 N
0.8980 0.7959 0.2500 Ac
0.1020 0.2041 0.7500 Ac
0.1662 0.3324 0.2500 Ni
0.8338 0.6676 0.7500 Ni
0.3678 0.7356 0.9405 Pa
0.3678 0.7356 0.5595 Pa
0.6322 0.2644 0.0595 Pa
0.6322 0.2644 0.4405 Pa
```

Computed properties:
For the total energy, the calculation gives -9.122 eV per atom. Its density of states at the Fermi level is 0.4117 states/eV per atom. As for the energy relative to the elements, uncorrected: -1.350 eV/atom. The crystal system is orthorhombic.


Entry 2:
LiPrO2 | PBE | relaxed

```
LiPrO2
1.0
3.5698 0.0000 0.0000
1.7849 3.0915 0.0000
1.7849 1.0305 5.8870
O Pr Li
2 1 1
direct
0.0836 0.0836 0.7491 O
0.2738 0.2738 0.1787 O
0.6684 0.6684 0.9947 Pr
0.4742 0.4742 0.5775 Li
```

Computed properties:
For the total energy, the calculation gives -6.626 eV per atom. Its density of states at the Fermi level is 0.0000 states/eV per atom. As for the energy relative to the elements, uncorrected: -2.474 eV/atom. The crystal system is trigonal.


Please write out number 2 again, unchanged.
LiPrO2 | PBE | relaxed

```
LiPrO2
1.0
3.5698 0.0000 0.0000
1.7849 3.0915 0.0000
1.7849 1.0305 5.8870
O Pr Li
2 1 1
direct
0.0836 0.0836 0.7491 O
0.2738 0.2738 0.1787 O
0.6684 0.6684 0.9947 Pr
0.4742 0.4742 0.5775 Li
```

Computed properties:
For the total energy, the calculation gives -6.626 eV per atom. Its density of states at the Fermi level is 0.0000 states/eV per atom. As for the energy relative to the elements, uncorrected: -2.474 eV/atom. The crystal system is trigonal.